{
  "formula": "TlCd3Ge",
  "functional": "PBE",
  "state": "relaxed",
  "lattice_angstrom": [[5.344, 0.000, 0.000], [0.000, 5.344, 0.000], [0.000, 0.000, 5.344]],
  "species": ["Cd", "Tl", "Cd", "Cd", "Ge"],
  "fractional_positions": [[0.000, 0.000, 0.500], [0.500, 0.500, 0.500], [0.500, 0.000, 0.000], [0.000, 0.500, 0.000], [0.000, 0.000, 0.000]],
  "crystal_system": "cubic",
  "space_group": "Pm-3m, No. 221",
  "n_ef_per_ev_atom": 0.62,
  "relative_energy_mev_per_atom": 0,
  "delta_e_f_ev_per_fu": 1.3
}

***

{
  "formula": "DyMgCo2H8",
  "functional": "PBE",
  "state": "relaxed",
  "lattice_angstrom": [[-2.647, 2.529, -2.708], [-3.765, -1.796, -1.826], [-4.875, 1.793, 2.611]],
  "species": ["H", "H", "Co", "H", "H", "Mg", "H", "Dy", "Co", "H", "H", "H"],
  "fractional_positions": [[0.368, 0.900, 0.146], [0.900, 0.585, 0.146], [0.697, 0.697, 0.908], [0.585, 0.368, 0.146], [0.632, 0.100, 0.854], [0.000, 0.000, 0.000], [0.803, 0.803, 0.591], [0.500, 0.500, 0.500], [0.303, 0.303, 0.092], [0.100, 0.415, 0.854], [0.415, 0.632, 0.854], [0.197, 0.197, 0.409]],
  "crystal_system": "trigonal",
  "space_group": "R-3, No. 148",
  "n_ef_per_ev_atom": 0.30,
  "energy_ev_per_atom": -4.140
}

***

{
  "formula": "TbAg5Te4",
  "functional": "PBE",
  "state": "relaxed",
  "lattice_angstrom": [[-2.211, -3.891, 0.525], [7.125, -3.738, 2.300], [-3.854, 5.578, 5.780]],
  "species": ["Te", "Ag", "Te", "Te", "Tb", "Te", "Ag", "Ag", "Ag", "Ag"],
  "fractional_positions": [[0.000, 0.733, 0.000], [0.814, 0.598, 0.628], [0.710, 0.210, 0.420], [0.000, 0.267, 0.000], [0.500, 0.000, 0.000], [0.290, 0.790, 0.580], [0.814, 0.030, 0.628], [0.500, 0.500, 0.000], [0.186, 0.402, 0.372], [0.186, 0.970, 0.372]],
  "crystal_system": "orthorhombic",
  "space_group": "Immm, No. 71",
  "n_ef_per_ev_atom": 0.07,
  "energy_ev_per_atom": -3.486
}

***

{
  "formula": "La3ZnBi",
  "functional": "PBE",
  "state": "relaxed",
  "lattice_angstrom": [[-3.527, 3.477, -2.735], [-4.371, -2.205, 2.835], [0.677, 3.880, 4.061]],
  "species": ["Zn", "La", "Bi", "La", "La"],
  "fractional_positions": [[0.000, 0.000, 0.000], [0.000, 0.500, 0.000], [0.500, 0.500, 0.500], [0.500, 0.000, 0.000], [0.000, 0.000, 0.500]],
  "crystal_system": "cubic",
  "space_group": "Pm-3m, No. 221",
  "n_ef_per_ev_atom": 0.48,
  "relative_energy_mev_per_atom": 0,
  "delta_e_f_ev_per_fu": -1.0
}

***

{
  "formula": "Ac2Nd8Tl",
  "functional": "PBE",
  "state": "relaxed",
  "lattice_angstrom": [[1.405, -6.788, 2.346], [4.013, -7.049, -6.095], [8.891, -4.550, -1.787]],
  "species": ["Nd", "Nd", "Nd", "Tl", "Nd", "Ac", "Nd", "Ac", "Nd", "Nd", "Nd"],
  "fractional_positions": [[0.739, 0.598, 0.598], [0.782, 0.185, 0.666], [0.218, 0.815, 0.334], [0.000, 0.000, 0.000], [0.182, 0.756, 0.756], [0.576, 0.819, 0.819], [0.261, 0.402, 0.402], [0.424, 0.181, 0.181], [0.782, 0.666, 0.185], [0.818, 0.244, 0.244], [0.218, 0.334, 0.815]],
  "crystal_system": "monoclinic",
  "space_group": "C2/m, No. 12",
  "n_ef_per_ev_atom": 1.40,
  "delta_e_f_ev_per_fu": 0.6
}

***

{
  "formula": "CdTe2BrN",
  "functional": "PBE",
  "state": "relaxed",
  "lattice_angstrom": [[5.837, 0.000, 0.000], [0.000, 5.837, 0.000], [0.000, 0.000, 4.039]],
  "species": ["Te", "Cd", "Br", "Te", "N"],
  "fractional_positions": [[0.000, 0.500, 0.000], [0.000, 0.000, 0.000], [0.500, 0.500, 0.500], [0.500, 0.000, 0.000], [0.000, 0.000, 0.500]],
  "crystal_system": "tetragonal",
  "space_group": "P4/mmm, No. 123",
  "n_ef_per_ev_atom": 1.42,
  "relative_energy_mev_per_atom": 0
}

***

{
  "formula": "CsAlNiW2",
  "functional": "PBE",
  "state": "relaxed",
  "lattice_angstrom": [[4.749, 0.000, 0.000], [0.000, 6.029, 0.000], [0.000, 0.000, 4.749]],
  "species": ["Cs", "Al", "W", "W", "Ni"],
  "fractional_positions": [[0.000, 0.500, 0.000], [0.000, 0.000, 0.000], [0.000, 0.000, 0.500], [0.500, 0.000, 0.000], [0.500, 0.500, 0.500]],
  "crystal_system": "tetragonal",
  "space_group": "P4/mmm, No. 123",
  "n_ef_per_ev_atom": 1.37,
  "delta_e_f_ev_per_fu": 12.7
}

***

{
  "formula": "BeWCl2",
  "functional": "PBE",
  "state": "relaxed",
  "lattice_angstrom": [[1.744, 0.000, 7.511], [-0.872, 1.510, 7.511], [-0.872, -1.510, 7.511]],
  "species": ["Cl", "Be", "Cl", "W"],
  "fractional_positions": [[0.892, 0.892, 0.892], [0.500, 0.500, 0.500], [0.108, 0.108, 0.108], [0.000, 0.000, 0.000]],
  "crystal_system": "trigonal",
  "space_group": "R-3m, No. 166",
  "n_ef_per_ev_atom": 0.65,
  "relative_energy_mev_per_atom": 393
}

***

{
  "formula": "ErCdHg3",
  "functional": "PBE",
  "state": "relaxed",
  "lattice_angstrom": [[6.224, 0.000, -1.635], [0.000, 5.241, 0.000], [-5.071, -2.621, 8.779]],
  "species": ["Hg", "Hg", "Hg", "Hg", "Hg", "Er", "Cd", "Cd", "Er", "Hg"],
  "fractional_positions": [[0.632, 0.401, 0.803], [0.907, 0.200, 0.399], [0.093, 0.800, 0.601], [0.259, 0.001, 0.002], [0.741, 0.999, 0.998], [0.105, 0.393, 0.786], [0.385, 0.197, 0.394], [0.615, 0.803, 0.606], [0.895, 0.607, 0.214], [0.368, 0.599, 0.197]],
  "crystal_system": "monoclinic",
  "space_group": "C2/m, No. 12",
  "n_ef_per_ev_atom": 0.49,
  "relative_energy_mev_per_atom": 62,
  "delta_e_f_ev_per_fu": -1.0
}

***

{
  "formula": "Pr2UTe5",
  "functional": "PBE",
  "state": "relaxed",
  "lattice_angstrom": [[3.112, 9.407, -0.018], [-3.112, 9.407, -0.018], [0.000, 0.124, 8.958]],
  "species": ["Te", "U", "Pr", "Pr", "Te", "Pr", "Te", "Pr", "Te", "Te", "Te", "Te", "Te", "Te", "Te", "U"],
  "fractional_positions": [[0.406, 0.428, 0.363], [0.066, 0.100, 0.737], [0.420, 0.403, 0.740], [0.750, 0.748, 0.733], [0.572, 0.594, 0.637], [0.252, 0.250, 0.267], [0.923, 0.913, 0.628], [0.597, 0.580, 0.260], [0.247, 0.245, 0.637], [0.755, 0.753, 0.363], [0.581, 0.056, 0.003], [0.752, 0.248, 0.000], [0.247, 0.753, 0.000], [0.087, 0.077, 0.372], [0.944, 0.419, 0.997], [0.900, 0.934, 0.263]],
  "crystal_system": "monoclinic",
  "space_group": "C2, No. 5",
  "n_ef_per_ev_atom": 1.07,
  "relative_energy_mev_per_atom": 0
}

***

{
  "formula": "KZnCu2",
  "functional": "PBE",
  "state": "relaxed",
  "lattice_angstrom": [[4.240, -0.057, 0.774], [2.096, 3.686, 0.774], [3.071, 1.759, 6.788]],
  "species": ["Zn", "Cu", "K", "Cu"],
  "fractional_positions": [[0.375, 0.375, 0.000], [0.726, 0.726, 0.972], [0.376, 0.376, 0.500], [0.023, 0.023, 0.028]],
  "crystal_system": "monoclinic",
  "space_group": "Cm, No. 8",
  "n_ef_per_ev_atom": 0.21,
  "delta_e_f_ev_per_fu": 0.2
}

***

{
  "formula": "LiAcY2",
  "functional": "PBE",
  "state": "relaxed",
  "lattice_angstrom": [[-2.284, -2.747, -1.302], [-0.543, -1.234, 3.555], [-6.941, 5.387, 0.810]],
  "species": ["Ac", "Y", "Y", "Li"],
  "fractional_positions": [[0.500, 0.500, 0.500], [0.000, 0.000, 0.206], [0.000, 0.000, 0.794], [0.500, 0.500, 0.000]],
  "crystal_system": "tetragonal",
  "space_group": "P4/mmm, No. 123",
  "n_ef_per_ev_atom": 1.57,
  "relative_energy_mev_per_atom": 0,
  "delta_e_f_ev_per_fu": 0.4
}

***

{
  "formula": "CsTaGe3",
  "functional": "PBE",
  "state": "relaxed",
  "lattice_angstrom": [[-1.059, 4.486, 2.731], [-3.485, -2.685, 3.058], [3.929, -1.172, 3.449]],
  "species": ["Ta", "Ge", "Ge", "Ge", "Cs"],
  "fractional_positions": [[0.500, 0.500, 0.500], [0.500, 0.000, 0.000], [0.000, 0.000, 0.500], [0.000, 0.500, 0.000], [0.000, 0.000, 0.000]],
  "crystal_system": "cubic",
  "space_group": "Pm-3m, No. 221",
  "n_ef_per_ev_atom": 1.13,
  "delta_e_f_ev_per_fu": 13.2
}

***

{
  "formula": "Tb2PrDyEr4",
  "functional": "PBE",
  "state": "relaxed",
  "lattice_angstrom": [[-1.603, 1.268, 9.250], [-5.445, -7.744, 0.352], [10.002, 1.594, -5.933]],
  "species": ["Er", "Dy", "Tb", "Tb", "Dy", "Pr", "Er", "Tb", "Pr", "Tb", "Er", "Er", "Er", "Er", "Er", "Er"],
  "fractional_positions": [[0.748, 0.249, 0.498], [0.500, 0.500, 0.500], [0.500, 0.000, 0.000], [0.500, 0.000, 0.500], [0.000, 0.000, 0.000], [0.000, 0.500, 0.500], [0.748, 0.750, 0.999], [0.500, 0.500, 0.000], [0.000, 0.500, 0.000], [0.000, 0.000, 0.500], [0.252, 0.250, 0.001], [0.252, 0.751, 0.502], [0.750, 0.752, 0.501], [0.749, 0.248, 0.998], [0.250, 0.248, 0.499], [0.251, 0.752, 0.002]],
  "crystal_system": "monoclinic",
  "space_group": "C2/c, No. 15",
  "n_ef_per_ev_atom": 2.19,
  "delta_e_f_ev_per_fu": 3.5
}

***

{
  "formula": "NdYNi2Ge2",
  "functional": "PBE",
  "state": "relaxed",
  "lattice_angstrom": [[4.237, 0.000, 0.000], [-2.118, 3.669, 0.000], [0.000, 0.000, 7.441]],
  "species": ["Y", "Ge", "Ni", "Ni", "Nd", "Ge"],
  "fractional_positions": [[0.000, 0.000, 0.500], [0.333, 0.667, 0.265], [0.333, 0.667, 0.723], [0.667, 0.333, 0.277], [0.000, 0.000, 0.000], [0.667, 0.333, 0.735]],
  "crystal_system": "trigonal",
  "space_group": "P-3m1, No. 164",
  "n_ef_per_ev_atom": 1.01,
  "delta_e_f_ev_per_fu": -4.4
}

***

{
  "formula": "SrTaCdAg2",
  "functional": "PBE",
  "state": "relaxed",
  "lattice_angstrom": [[5.155, 0.000, 0.000], [0.000, 5.713, 0.000], [0.000, 0.000, 5.155]],
  "species": ["Ag", "Cd", "Ta", "Ag", "Sr"],
  "fractional_positions": [[0.500, 0.000, 0.000], [0.000, 0.000, 0.000], [0.500, 0.500, 0.500], [0.000, 0.000, 0.500], [0.000, 0.500, 0.000]],
  "crystal_system": "tetragonal",
  "space_group": "P4/mmm, No. 123",
  "n_ef_per_ev_atom": 0.84,
  "relative_energy_mev_per_atom": 0,
  "delta_e_f_ev_per_fu": 6.5
}

***

{
  "formula": "SrCo4W",
  "functional": "PBE",
  "state": "relaxed",
  "lattice_angstrom": [[0.069, -0.694, 4.875], [-4.056, 0.839, 2.664], [-2.466, -3.772, 1.986]],
  "species": ["W", "Co", "Sr", "Co", "Co", "Co"],
  "fractional_positions": [[0.000, 0.000, 0.000], [0.374, 0.374, 0.877], [0.750, 0.750, 0.750], [0.374, 0.374, 0.374], [0.877, 0.374, 0.374], [0.374, 0.877, 0.374]],
  "crystal_system": "cubic",
  "space_group": "F-43m, No. 216",
  "n_ef_per_ev_atom": 1.33,
  "delta_e_f_ev_per_fu": 3.5
}

***

{
  "formula": "Pt2SeBr",
  "functional": "PBE",
  "state": "relaxed",
  "lattice_angstrom": [[1.897, -3.868, 1.816], [1.941, 0.122, 4.251], [-2.082, -2.164, 3.583]],
  "species": ["Se", "Pt", "Br", "Pt"],
  "fractional_positions": [[0.000, 0.000, 0.000], [0.750, 0.750, 0.750], [0.500, 0.500, 0.500], [0.250, 0.250, 0.250]],
  "crystal_system": "cubic",
  "space_group": "Fm-3m, No. 225",
  "n_ef_per_ev_atom": 1.63,
  "relative_energy_mev_per_atom": 807
}

***

{
  "formula": "Ba6PdN",
  "functional": "PBE",
  "state": "relaxed",
  "lattice_angstrom": [[7.685, -0.636, -1.036], [-3.581, 6.830, -1.036], [-0.213, -0.321, 7.612]],
  "species": ["Ba", "Ba", "Pd", "Ba", "Ba", "Ba", "N", "Ba"],
  "fractional_positions": [[0.740, 0.740, 0.276], [0.428, 0.139, 0.267], [0.000, 0.000, 0.000], [0.861, 0.572, 0.733], [0.260, 0.260, 0.724], [0.572, 0.861, 0.733], [0.500, 0.500, 0.500], [0.139, 0.428, 0.267]],
  "crystal_system": "monoclinic",
  "space_group": "C2/m, No. 12",
  "n_ef_per_ev_atom": 0.98,
  "relative_energy_mev_per_atom": 0
}